1.
! TlCr3Hg GGA-PBE relaxed; values from VASP
! raw total energy = -4.97 eV per atom
! excess energy over the best structure of this formula in the dataset = 0 meV per atom
! space group = Pm-3m (221)
! total moment = 13.8 Bohr magnetons per cell
&SYSTEM
  ibrav = 0, nat = 5, ntyp = 3
/
ATOMIC_SPECIES
Cr 52.00 Cr.upf
Tl 204.38 Tl.upf
Hg 200.59 Hg.upf
CELL_PARAMETERS angstrom
-0.3580 -4.9178 1.7221
3.9501 0.8696 3.3044
-3.3981 1.5289 3.6598
ATOMIC_POSITIONS crystal
Cr 0.0000 0.5000 0.0000
Cr 0.0000 0.0000 0.5000
Cr 0.5000 0.0000 0.0000
Tl 0.5000 0.5000 0.5000
Hg 0.0000 0.0000 0.0000

2.
! Tl2CrHg GGA-PBE relaxed; values from VASP
! raw total energy = -3.24 eV per atom
! excess energy over the best structure of this formula in the dataset = 91 meV per atom
! space group = I4/mmm (139)
! total moment = 4.6 Bohr magnetons per cell
&SYSTEM
  ibrav = 0, nat = 4, ntyp = 3
/
ATOMIC_SPECIES
Cr 52.00 Cr.upf
Hg 200.59 Hg.upf
Tl 204.38 Tl.upf
CELL_PARAMETERS angstrom
5.7487 -0.1672 0.0000
2.2314 5.3006 0.0000
-3.9900 -2.5667 3.2507
ATOMIC_POSITIONS crystal
Cr 0.7500 0.2500 0.5000
Hg 0.2500 0.7500 0.5000
Tl 0.0000 0.0000 0.0000
Tl 0.5000 0.5000 0.0000

3.
! Tl2CrHg GGA-PBE relaxed; values from VASP
! raw total energy = -3.18 eV per atom
! excess energy over the best structure of this formula in the dataset = 154 meV per atom
! space group = I-42d (122)
! total moment = 8.8 Bohr magnetons per cell
&SYSTEM
  ibrav = 0, nat = 8, ntyp = 3
/
ATOMIC_SPECIES
Cr 52.00 Cr.upf
Tl 204.38 Tl.upf
Hg 200.59 Hg.upf
CELL_PARAMETERS angstrom
4.4224 0.0000 0.0000
0.0000 4.4224 0.0000
2.2112 2.2112 10.7924
ATOMIC_POSITIONS crystal
Cr 0.5000 0.5000 0.0000
Cr 0.2500 0.7500 0.5000
Tl 0.6184 0.1250 0.2500
Tl 0.1316 0.6250 0.2500
Tl 0.3750 0.3816 0.7500
Tl 0.8750 0.8684 0.7500
Hg 0.0000 0.0000 0.0000
Hg 0.7500 0.2500 0.5000

4.
! Tl2CrHg GGA-PBE relaxed; values from VASP
! raw total energy = -3.33 eV per atom
! excess energy over the best structure of this formula in the dataset = 0 meV per atom
! space group = P4mm (99)
! total moment = 4.1 Bohr magnetons per cell
&SYSTEM
  ibrav = 0, nat = 4, ntyp = 3
/
ATOMIC_SPECIES
Cr 52.00 Cr.upf
Hg 200.59 Hg.upf
Tl 204.38 Tl.upf
CELL_PARAMETERS angstrom
3.3813 0.0000 0.0000
0.0000 3.3813 0.0000
0.0000 0.0000 8.6973
ATOMIC_POSITIONS crystal
Cr 0.0000 0.0000 0.5167
Hg 0.5000 0.5000 0.7056
Tl 0.0000 0.0000 0.9849
Tl 0.5000 0.5000 0.2929